[1]
AsPb7: optimized geometry, GGA-PBEsol.

abc: 6.8460 6.8460 6.8460
angles: 60.00 60.00 60.00
Fractional positions:
As: 0.0000 0.0000 0.0000
Pb: 0.0000 0.0000 0.5000
Pb: 0.0000 0.5000 0.0000
Pb: 0.5000 0.0000 0.0000
Pb: 0.5000 0.5000 0.0000
Pb: 0.5000 0.0000 0.5000
Pb: 0.0000 0.5000 0.5000
Pb: 0.5000 0.5000 0.5000

- final energy (eV/cell) = -32.6

[2]
As4Pd5Pb: optimized geometry, GGA-PBEsol.

abc: 6.6639 6.7761 9.5083
angles: 105.70 90.00 119.45
Fractional positions:
As: 0.5837 0.8286 0.5358
As: 0.4163 0.1714 0.4642
As: 0.9399 0.5737 0.3634
As: 0.3662 0.4263 0.1366
As: 0.2449 0.8286 0.0358
As: 0.7551 0.1714 0.9642
As: 0.6338 0.5737 0.8634
As: 0.0601 0.4263 0.6366
Pd: 0.7434 0.5880 0.6022
Pd: 0.0000 0.0000 0.5000
Pd: 0.2566 0.4120 0.3978
Pd: 0.5500 0.2243 0.2199
Pd: 0.3257 0.7757 0.2801
Pd: 0.0000 0.0000 0.0000
Pd: 0.8446 0.5880 0.1022
Pd: 0.4500 0.7757 0.7801
Pd: 0.1554 0.4120 0.8978
Pd: 0.6743 0.2243 0.7199
Pb: 0.8070 0.0000 0.2500
Pb: 0.1930 0.0000 0.7500

- final energy (eV/cell) = -114.6

[3]
As3PdPb: optimized geometry, GGA-PBEsol.

abc: 4.8853 4.8853 4.8853
angles: 90.00 90.00 90.00
Fractional positions:
Pb: 0.5000 0.5000 0.5000
As: 0.0000 0.5000 0.0000
As: 0.0000 0.0000 0.5000
As: 0.5000 0.0000 0.0000
Pd: 0.0000 0.0000 0.0000

- excess energy over the best structure of this formula in the dataset (meV/atom) = 0.0
- final energy (eV/cell) = -23.2

[4]
RbAs2Pb2: optimized geometry, GGA-PBEsol.

abc: 5.0335 5.0335 7.0224
angles: 111.00 111.00 90.00
Fractional positions:
Pb: 0.2500 0.7500 0.5000
Pb: 0.7500 0.2500 0.5000
As: 0.3890 0.3890 0.7781
As: 0.6110 0.6110 0.2219
Rb: 0.0000 0.0000 0.0000

- final energy (eV/cell) = -19.9

D(E_F) (computed, states/eV per cell): 4.2, 8.6, 5.6, 1.9
Calculated volume (computed, Å³/atom): 28.36, 17.77, 23.32, 30.68
ΔH_f (0 K) (computed, eV/atom): 0.06, -0.31, 0.41, -0.12